Computed, not measured: a PBEsol-optimized structure of Ca2InHg2 at the meta-GGA SCAN level of DFT.

Output
E_tot = -384.33 eV/cell
M_tot = 0.0 Bohr magnetons per cell

Cell: 4.068 7.988 7.988 Å, 90.00 90.00 90.00°
Fractional positions:
Hg (0.000, 0.370, 0.870)
Hg (0.000, 0.870, 0.630)
Hg (0.000, 0.130, 0.370)
Ca (0.500, 0.330, 0.170)
In (0.000, 0.000, 0.000)
In (0.000, 0.500, 0.500)
Ca (0.500, 0.830, 0.330)
Hg (0.000, 0.630, 0.130)
Ca (0.500, 0.170, 0.670)
Ca (0.500, 0.670, 0.830)